Record 1
# Tl2Ag2Bi, optimized geometry, DFT GGA-PBE
data_Tl2Ag2Bi
_space_group_name_H-M_alt 'I 4/m m m'
_space_group_IT_number 139
_space_group_name_Hall '-I 4 2'
_cell_length_a 4.4064
_cell_length_b 4.4064
_cell_length_c 13.6618
_cell_angle_alpha 90.00
_cell_angle_beta 90.00
_cell_angle_gamma 90.00
loop_
_atom_site_label
_atom_site_type_symbol
_atom_site_fract_x
_atom_site_fract_y
_atom_site_fract_z
Tl1 Tl 0.0000 0.5000 0.2500
Ag1 Ag 0.0000 0.0000 0.0976
Bi1 Bi 0.0000 0.0000 0.5000
# Mass density = 10.4 g cm⁻³
# Formation energy = 20.2 kJ/mol of atoms
# E above lowest polymorph = 0.100 eV/atom
# Calculated total energy = -2.654 eV/atom

Record 2
# NaErTh2Te4, optimized geometry, DFT GGA-PBE
data_NaErTh2Te4
_space_group_name_H-M_alt 'P 1 2/m 1'
_space_group_IT_number 10
_cell_length_a 7.3426
_cell_length_b 4.2045
_cell_length_c 8.2535
_cell_angle_alpha 90.00
_cell_angle_beta 106.65
_cell_angle_gamma 90.00
loop_
_space_group_symop_operation_xyz
'x,y,z'
'-x,-y,-z'
'-x,y,-z'
'x,-y,z'
loop_
_atom_site_label
_atom_site_type_symbol
_atom_site_fract_x
_atom_site_fract_y
_atom_site_fract_z
Na1 Na 0.0000 0.0000 0.0000
Er1 Er 0.5000 0.5000 0.0000
Th1 Th 0.0000 0.5000 0.5000
Th2 Th 0.5000 0.0000 0.5000
Te1 Te 0.2484 0.5000 0.2378
Te2 Te 0.2548 0.0000 0.7657
# Mass density = 7.9 g cm⁻³
# Raw formation energy = -1.111 eV/atom
# Calculated total energy = -5.272 eV/atom

Record 3
# LaMnIr2Ru, optimized geometry, DFT GGA-PBE
data_LaMnIr2Ru
_space_group_name_H-M_alt 'P 4/m m m'
_space_group_IT_number 123
_space_group_name_Hall '-P 4 2'
_cell_length_a 4.8436
_cell_length_b 4.8436
_cell_length_c 4.6237
_cell_angle_alpha 90.00
_cell_angle_beta 90.00
_cell_angle_gamma 90.00
loop_
_atom_site_label
_atom_site_type_symbol
_atom_site_fract_x
_atom_site_fract_y
_atom_site_fract_z
La1 La 0.0000 0.0000 0.0000
Mn1 Mn 0.5000 0.5000 0.0000
Ir1 Ir 0.0000 0.5000 0.5000
Ru1 Ru 0.5000 0.5000 0.5000
# Mass density = 10.4 g cm⁻³
# Formation energy = 47.6 kJ/mol of atoms
# Calculated total energy = -7.726 eV/atom

Record 4
# U2MnC, optimized geometry, DFT GGA-PBE
data_U2MnC
_space_group_name_H-M_alt 'R -3 m'
_space_group_IT_number 166
_space_group_name_Hall '-R 3 2"'
_cell_length_a 3.0784
_cell_length_b 3.0784
_cell_length_c 23.0261
_cell_angle_alpha 90.00
_cell_angle_beta 90.00
_cell_angle_gamma 120.00
loop_
_atom_site_label
_atom_site_type_symbol
_atom_site_fract_x
_atom_site_fract_y
_atom_site_fract_z
U1 U 0.0000 0.0000 0.0990
Mn1 Mn 0.0000 0.0000 0.0000
C1 C 0.0000 0.0000 0.5000
# Mass density = 14.3 g cm⁻³
# Formation energy = 22.5 kJ/mol of atoms
# E above lowest polymorph = 0.023 eV/atom
# Calculated total energy = -10.009 eV/atom

Record 5
# KRb2SnS, optimized geometry, DFT GGA-PBE
data_KRb2SnS
_space_group_name_H-M_alt 'P 4/m m m'
_space_group_IT_number 123
_space_group_name_Hall '-P 4 2'
_cell_length_a 6.4326
_cell_length_b 6.4326
_cell_length_c 6.0823
_cell_angle_alpha 90.00
_cell_angle_beta 90.00
_cell_angle_gamma 90.00
loop_
_atom_site_label
_atom_site_type_symbol
_atom_site_fract_x
_atom_site_fract_y
_atom_site_fract_z
K1 K 0.0000 0.0000 0.0000
Rb1 Rb 0.0000 0.5000 0.5000
Sn1 Sn 0.5000 0.5000 0.0000
S1 S 0.0000 0.0000 0.5000
# Mass density = 2.4 g cm⁻³
# Raw formation energy = -0.364 eV/atom
# E above lowest polymorph = 0.000 eV/atom
# Calculated total energy = -2.596 eV/atom

Record 6
# KBeMo2, optimized geometry, DFT GGA-PBE
data_KBeMo2
_space_group_name_H-M_alt 'R -3 m'
_space_group_IT_number 166
_space_group_name_Hall '-R 3 2"'
_cell_length_a 2.7807
_cell_length_b 2.7807
_cell_length_c 31.1726
_cell_angle_alpha 90.00
_cell_angle_beta 90.00
_cell_angle_gamma 120.00
loop_
_atom_site_label
_atom_site_type_symbol
_atom_site_fract_x
_atom_site_fract_y
_atom_site_fract_z
K1 K 0.0000 0.0000 0.0000
Be1 Be 0.0000 0.0000 0.5000
Mo1 Mo 0.0000 0.0000 0.2324
# Mass density = 5.7 g cm⁻³
# Formation energy = 96.6 kJ/mol of atoms
# Calculated total energy = -5.620 eV/atom